# Ni2OsPb PBE-GGA relaxed
data_Ni2OsPb
_chemical_formula_sum 'Ni6 Os3 Pb3'
_symmetry_space_group_name_H-M 'R -3 m'
_symmetry_Int_Tables_number 166
_symmetry_space_group_name_Hall '-R 3 2"'
_cell_length_a 2.9035
_cell_length_b 2.9035
_cell_length_c 25.7801
_cell_angle_alpha 90.00
_cell_angle_beta 90.00
_cell_angle_gamma 120.00
loop_
_atom_site_label
_atom_site_type_symbol
_atom_site_fract_x
_atom_site_fract_y
_atom_site_fract_z
_atom_site_occupancy
Ni1 Ni 0.0000 0.0000 0.2419 1
Os1 Os 0.0000 0.0000 0.5000 1
Pb1 Pb 0.0000 0.0000 0.0000 1
# Total magnetization in μB/f.u.: 0.00
# Energy of formation from the pure elements in eV/atom: 0.601
# Calculated volume in Å³/atom: 15.69

# AlBrO2F PBE-GGA relaxed
data_AlBrO2F
_chemical_formula_sum 'Al1 Br1 O2 F1'
_symmetry_space_group_name_H-M 'P 4/m m m'
_symmetry_Int_Tables_number 123
_symmetry_space_group_name_Hall '-P 4 2'
_cell_length_a 3.901
_cell_length_b 3.901
_cell_length_c 3.646
_cell_angle_alpha 90.00
_cell_angle_beta 90.00
_cell_angle_gamma 90.00
loop_
_atom_site_label
_atom_site_type_symbol
_atom_site_fract_x
_atom_site_fract_y
_atom_site_fract_z
_atom_site_occupancy
Al1 Al 0.000 0.000 0.000 1
Br1 Br 0.500 0.500 0.500 1
O1 O 0.000 0.500 0.000 1
F1 F 0.000 0.000 0.500 1
# Total magnetization in μB/f.u.: 0.00
# Calculated volume in Å³/atom: 11.10
# Energy relative to the elements, uncorrected in eV per atom: -1.28

Please write out number 2 again, unchanged.
# AlBrO2F PBE-GGA relaxed
data_AlBrO2F
_chemical_formula_sum 'Al1 Br1 O2 F1'
_symmetry_space_group_name_H-M 'P 4/m m m'
_symmetry_Int_Tables_number 123
_symmetry_space_group_name_Hall '-P 4 2'
_cell_length_a 3.901
_cell_length_b 3.901
_cell_length_c 3.646
_cell_angle_alpha 90.00
_cell_angle_beta 90.00
_cell_angle_gamma 90.00
loop_
_atom_site_label
_atom_site_type_symbol
_atom_site_fract_x
_atom_site_fract_y
_atom_site_fract_z
_atom_site_occupancy
Al1 Al 0.000 0.000 0.000 1
Br1 Br 0.500 0.500 0.500 1
O1 O 0.000 0.500 0.000 1
F1 F 0.000 0.000 0.500 1
# Total magnetization in μB/f.u.: 0.00
# Calculated volume in Å³/atom: 11.10
# Energy relative to the elements, uncorrected in eV per atom: -1.28

> What is the total magnetization in the second record?

0.00 μB/f.u.

> What is the formula in the first record?

Ni2OsPb